The following is a DFT calculation (meta-GGA SCAN) of a crystal of AlBi12O20 relaxed with PBEsol.

```
AlBi12O20
1.0
-2.215 -4.769 -6.883
1.569 -5.211 6.739
-6.476 5.402 1.974
Al Bi O
1 12 20
Cartesian
0.000 0.000 0.000 Al
-4.863 0.159 5.098 Bi
-4.055 -4.666 -0.081 Bi
-3.057 0.252 1.913 Bi
-5.901 2.210 0.378 Bi
-2.270 -4.899 -3.271 Bi
-0.985 -3.136 1.504 Bi
-5.996 -1.451 0.406 Bi
-1.362 -6.777 1.371 Bi
-2.828 -1.530 -1.652 Bi
-6.087 -1.295 -3.306 Bi
-4.214 -3.050 3.340 Bi
-1.115 -3.279 5.278 Bi
-1.757 -3.782 -5.459 O
-1.473 -0.947 0.379 O
-5.136 4.285 1.566 O
1.244 -4.133 5.345 O
-0.444 -4.892 2.830 O
-2.743 -4.989 1.537 O
-4.396 0.148 0.289 O
-3.139 -2.293 5.530 O
-6.661 0.578 -0.996 O
-2.080 -2.327 3.113 O
-5.272 -2.233 -1.413 O
-3.754 -2.301 -3.571 O
-2.398 -3.524 -1.122 O
-4.554 1.568 2.989 O
-4.853 -1.048 3.181 O
-2.438 -6.150 -1.389 O
-0.857 -1.845 -2.664 O
-4.366 -2.806 1.122 O
-2.506 2.091 0.764 O
0.607 -2.016 2.608 O
```

- E_form (uncorrected): -1.26 eV per atom
- Total DFT energy (no corrections): -2.4877 Ry per atom
- M_tot: 0.00 μB per formula unit

The following is a DFT calculation (meta-GGA SCAN) of a crystal of Al4Bi2O9 relaxed with PBEsol.

```
Al4Bi2O9
1.0
-4.384 -3.548 0.873
2.590 -4.576 -5.588
4.440 -4.144 5.451
Al Bi O
8 4 18
Cartesian
1.909 -5.920 4.177 Al
0.737 -6.348 -3.441 Al
2.427 -7.483 0.429 Al
0.219 -4.785 0.307 Al
1.079 -2.995 2.953 Al
-1.948 -4.913 -2.148 Al
-1.023 -4.697 3.372 Al
0.155 -3.211 -2.567 Al
3.831 -4.298 1.768 Bi
3.199 -4.422 -1.905 Bi
5.858 -7.270 -0.127 Bi
1.172 -1.450 -0.010 Bi
5.066 -5.493 3.114 O
1.964 -3.227 -3.251 O
4.724 -6.253 -1.690 O
2.306 -2.467 1.553 O
2.800 -7.216 3.387 O
-0.154 -5.052 -2.651 O
2.649 -8.154 -1.184 O
-0.002 -4.114 1.920 O
2.476 -6.106 -3.079 O
2.368 -4.383 3.377 O
-1.399 -5.241 -0.316 O
1.847 -8.807 1.490 O
-2.192 -1.774 0.437 O
1.323 -6.134 0.368 O
0.799 -3.462 -0.754 O
4.045 -7.027 1.052 O
0.278 -7.885 -2.641 O
0.170 -6.162 3.815 O
```

- E_form (uncorrected): -2.64 eV per atom
- Total DFT energy (no corrections): -1.3911 Ry per atom
- M_tot: 0.00 μB per formula unit

The following is a DFT calculation (meta-GGA SCAN) of a crystal of AlBiPO2 relaxed with PBEsol.

```
AlBiPO2
1.0
-2.693 1.425 -2.254
1.126 -2.296 -2.797
-3.108 -3.416 1.553
P Bi O Al
1 1 2 1
Cartesian
-1.554 -1.708 0.777 P
-2.337 -2.143 -1.749 Bi
0.563 -1.148 -1.398 O
-1.346 0.713 -1.127 O
0.000 0.000 0.000 Al
```

- E_form (uncorrected): -0.98 eV per atom
- Total DFT energy (no corrections): -1.6771 Ry per atom
- M_tot: 0.00 μB per formula unit

The following is a DFT calculation (meta-GGA SCAN) of a crystal of AlBiP2O relaxed with PBEsol.

```
AlBiP2O
1.0
-0.743 -4.193 -0.004
1.285 -0.231 4.054
-4.421 0.782 1.445
P Bi O Al
2 1 1 1
Cartesian
0.642 -0.116 2.027 P
-0.371 -2.097 -0.002 P
-2.210 0.391 0.723 Bi
0.000 0.000 0.000 O
-1.940 -1.821 2.748 Al
```

- ΔE to the lowest computed polymorph: 0.826 eV/atom
- E_form (uncorrected): 0.48 eV per atom
- Total DFT energy (no corrections): -1.6308 Ry per atom
- M_tot: 0.00 μB per formula unit

The following is a DFT calculation (meta-GGA SCAN) of a crystal of AlBiP2O relaxed with PBEsol.

```
AlBiP2O
1.0
-0.693 1.474 -3.064
3.972 -2.267 -1.990
-2.847 -3.905 -1.235
P Bi O Al
2 1 1 1
Cartesian
-1.424 -1.953 -0.617 P
1.986 -1.133 -0.995 P
0.216 -2.349 -3.144 Bi
-0.347 0.737 -1.532 O
0.000 0.000 0.000 Al
```

- ΔE to the lowest computed polymorph: 0.000 eV/atom
- E_form (uncorrected): -0.34 eV per atom
- Total DFT energy (no corrections): -1.6915 Ry per atom
- M_tot: 0.00 μB per formula unit

The following is a DFT calculation (meta-GGA SCAN) of a crystal of AlBi3Sb2O11 relaxed with PBEsol.

```
AlBi3Sb2O11
1.0
-4.464 7.076 -4.273
-0.810 -5.240 -7.831
-8.265 -3.373 3.112
Al Bi Sb O
4 12 8 44
Cartesian
-6.767 -3.192 -0.063 Al
-11.494 -1.714 -6.238 Al
-5.266 -0.548 -7.611 Al
-4.723 -0.938 -1.732 Al
-7.082 -3.274 -8.425 Bi
-2.729 0.907 -6.184 Bi
-4.608 -4.181 -2.288 Bi
-8.183 -3.325 2.998 Bi
-5.222 3.701 -6.401 Bi
-7.317 4.450 -3.776 Bi
-3.959 3.578 -3.038 Bi
-6.039 1.028 -4.281 Bi
-8.151 -5.566 -2.636 Bi
-6.520 -5.920 -5.733 Bi
-9.807 -4.587 -5.783 Bi
-7.299 -2.667 -4.417 Bi
-8.134 -0.995 -1.323 Sb
-8.876 -0.640 -7.201 Sb
-3.955 -3.839 -7.410 Sb
-3.696 -2.157 -4.912 Sb
-6.642 1.586 -8.965 Sb
-2.109 0.112 -2.730 Sb
-9.656 2.304 -1.577 Sb
-9.915 0.637 -4.084 Sb
-5.959 2.678 -2.808 O
-4.353 2.251 -5.008 O
-7.009 2.939 -5.323 O
-5.177 4.801 -4.394 O
-7.644 -4.088 -6.178 O
-9.140 -3.781 -3.866 O
-6.503 -4.587 -3.727 O
-8.438 -6.288 -4.708 O
-8.506 -3.849 0.675 O
-5.051 -2.522 -0.724 O
-9.959 -1.650 -0.723 O
-6.442 -0.187 -2.009 O
-11.700 -2.769 -7.882 O
-11.327 -0.648 -4.581 O
-8.985 -1.726 -8.908 O
-8.614 0.499 -5.568 O
-2.961 -5.376 -6.549 O
-4.912 -2.321 -8.282 O
-2.742 -3.681 -3.977 O
-4.579 -0.632 -5.836 O
-4.954 2.367 -9.693 O
-8.464 0.956 -8.329 O
-3.545 0.155 -8.224 O
-7.021 -1.313 -7.036 O
-1.871 1.269 -1.085 O
-2.190 -0.972 -4.420 O
-4.593 0.182 -0.124 O
-4.895 -2.063 -3.349 O
-10.619 3.780 -2.510 O
-8.653 0.826 -0.627 O
-10.798 2.157 -5.015 O
-8.963 -0.901 -3.169 O
-2.843 -1.385 -1.603 O
-4.066 0.511 -2.833 O
-10.931 0.983 -2.390 O
-8.605 1.915 -3.243 O
-6.006 -0.255 -9.361 O
-5.818 1.258 -7.207 O
-10.828 -0.206 -7.252 O
-9.617 -2.183 -6.142 O
-2.646 -2.560 -6.583 O
-4.971 -3.481 -5.715 O
-7.277 -1.403 0.423 O
-7.540 -2.813 -1.791 O
```

- E_form (uncorrected): -1.69 eV per atom
- Total DFT energy (no corrections): -1.7956 Ry per atom
- M_tot: 0.00 μB per formula unit

The following is a DFT calculation (meta-GGA SCAN) of a crystal of Sr6Al12Bi2O27 relaxed with PBEsol.

```
Sr6Al12Bi2O27
1.0
-5.024 -4.950 0.994
8.179 -5.594 -3.533
1.225 4.102 9.609
Sr Al Bi O
6 12 2 27
Cartesian
4.765 -6.662 3.161 Sr
2.889 -1.539 2.181 Sr
1.286 -7.401 -1.090 Sr
-0.421 0.300 3.868 Sr
1.561 -4.935 4.831 Sr
3.135 0.985 8.244 Sr
2.386 -1.876 5.542 Al
-0.339 -2.241 6.963 Al
-2.300 -3.995 5.333 Al
1.975 -4.576 1.544 Al
4.696 -4.212 0.098 Al
6.674 -2.473 1.739 Al
5.093 -7.268 -0.159 Al
5.086 -2.939 4.352 Al
-0.661 -4.825 -0.055 Al
-0.660 0.821 7.172 Al
-0.654 -3.485 2.773 Al
5.023 -1.543 7.109 Al
-4.032 -3.973 0.798 Bi
-1.143 -1.126 0.226 Bi
6.145 -3.217 0.248 O
2.505 -5.890 2.569 O
3.251 -3.576 0.850 O
-1.825 -3.203 6.832 O
1.866 -0.594 4.453 O
1.137 -2.905 6.270 O
-1.408 -1.881 2.767 O
5.827 -1.831 5.556 O
0.525 0.722 8.486 O
5.893 -4.514 4.334 O
-1.417 -4.495 1.512 O
3.935 -7.113 -1.488 O
3.356 -3.033 4.618 O
-0.119 -2.101 8.714 O
-3.472 -2.960 4.503 O
1.088 -3.454 2.578 O
4.392 -4.238 -1.640 O
7.886 -3.548 2.439 O
5.342 -2.115 2.818 O
1.059 -5.134 0.160 O
5.165 -5.766 0.755 O
-0.944 -4.346 4.279 O
3.294 -1.285 6.920 O
-0.785 -0.690 6.280 O
7.511 -4.795 -2.296 O
3.779 -6.259 5.580 O
1.081 -1.167 0.290 O
```

- E_form (uncorrected): -3.15 eV per atom
- Total DFT energy (no corrections): -1.0950 Ry per atom
- M_tot: 0.00 μB per formula unit

The following is a DFT calculation (meta-GGA SCAN) of a crystal of AlBi3P relaxed with PBEsol.

```
AlBi3P
1.0
-3.699 2.684 -2.786
1.142 -2.925 -4.335
-3.696 -3.590 1.449
P Bi Al
1 3 1
Cartesian
0.000 0.000 0.000 P
0.571 -1.463 -2.167 Bi
-1.848 -1.795 0.725 Bi
-1.850 1.342 -1.393 Bi
-3.127 -1.916 -2.836 Al
```

- Total DFT energy (no corrections): -3.6752 Ry per atom
- Energy of formation: 0.775 eV per atom
- M_tot: 0.00 μB per formula unit

The following is a DFT calculation (meta-GGA SCAN) of a crystal of Al3BiPb relaxed with PBEsol.

```
Al3BiPb
1.0
-2.229 -4.697 -0.841
0.474 -1.141 5.120
-4.748 2.091 0.906
Pb Bi Al
1 1 3
Cartesian
0.000 0.000 0.000 Pb
-3.252 -1.874 2.593 Bi
0.237 -0.571 2.560 Al
-2.374 1.046 0.453 Al
-1.115 -2.349 -0.420 Al
```

- Total DFT energy (no corrections): -2.5496 Ry per atom
- Energy of formation: 0.835 eV per atom
- M_tot: 0.00 μB per formula unit

The following is a DFT calculation (meta-GGA SCAN) of a crystal of AlSn2BiPb relaxed with PBEsol.

```
AlSn2BiPb
1.0
5.397 0.000 0.000
0.000 5.731 0.000
0.000 0.000 5.731
Pb Al Bi Sn
1 1 1 2
Cartesian
2.698 2.865 2.865 Pb
2.698 0.000 0.000 Al
0.000 0.000 0.000 Bi
0.000 0.000 2.865 Sn
0.000 2.865 0.000 Sn
```

- Total DFT energy (no corrections): -3.3774 Ry per atom
- Energy of formation: 0.839 eV per atom
- M_tot: 0.00 μB per formula unit

The following is a DFT calculation (meta-GGA SCAN) of a crystal of AlBiPdSe2 relaxed with PBEsol.

```
AlBiPdSe2
1.0
4.825 0.000 0.000
0.000 4.825 0.000
0.000 0.000 5.436
Se Bi Pd Al
2 1 1 1
Cartesian
0.000 2.413 0.000 Se
2.413 0.000 0.000 Se
0.000 0.000 2.718 Bi
0.000 0.000 0.000 Pd
2.413 2.413 2.718 Al
```

- E_form (uncorrected): 0.41 eV per atom
- Total DFT energy (no corrections): -2.3109 Ry per atom
- M_tot: 0.00 μB per formula unit

The following is a DFT calculation (meta-GGA SCAN) of a crystal of AlBiPt2 relaxed with PBEsol.

```
AlBiPt2
1.0
-1.040 -4.538 -0.178
1.325 -2.831 3.456
-3.181 -1.777 2.905
Bi Pt Al
1 2 1
Cartesian
-1.448 -4.573 3.091 Bi
-0.724 -2.287 1.546 Pt
-2.172 -6.860 4.637 Pt
0.000 0.000 0.000 Al
```

- Total DFT energy (no corrections): -4.1766 Ry per atom
- Energy of formation: -0.146 eV per atom
- M_tot: 0.00 μB per formula unit

| no. | calculated volume (A^3/atom) |
| --- | --- |
| 1 | 15.16 |
| 2 | 11.91 |
| 3 | 14.00 |
| 4 | 17.11 |
| 5 | 17.27 |
| 6 | 12.35 |
| 7 | 13.78 |
| 8 | 30.67 |
| 9 | 29.22 |
| 10 | 35.45 |
| 11 | 25.31 |
| 12 | 17.88 |